(1)
# PmSm

PmSm after structural relaxation (PBE-GGA, OQMD via LeMat-Bulk).

Cell: 4.6962 4.6962 4.6962 Å, 60.00 60.00 60.00°
Closest atoms and distances in Å follow each position.
Sites, in units of the cell vectors:
Pm1 0.0000 0.0000 0.0000  4 Sm 2.88
Sm1 0.2500 0.2500 0.2500  4 Pm 2.88

Results
density: 6.697 g/cm3
offset from the most stable computed form: 1.651 eV per atom
space-group type: No. 216
ΔH_f (0 K): 1.67 eV per atom

(2)
# NaPdO3

NaPdO3 after structural relaxation (PBE-GGA, OQMD via LeMat-Bulk).

Cell: 3.8313 3.8313 4.2317 Å, 90.00 90.00 90.00°
Closest atoms and distances in Å follow each position.
Sites, in units of the cell vectors:
Na1 0.0000 0.0000 0.0015  8 O 2.46-2.73
O1 0.5000 0.5000 0.0891  1 Pd 1.88
O2 0.5000 0.0000 0.6378  2 Pd 1.97
O3 0.0000 0.5000 0.6378  2 Pd 1.97
Pd1 0.5000 0.5000 0.5337  5 O 1.88-1.97

Results
density: 4.743 g/cm3
E_tot: -4.655 eV/atom
space-group type: No. 99

(3)
# RbMgAsPt

RbMgAsPt after structural relaxation (PBE-GGA, OQMD via LeMat-Bulk).

Cell: 4.9185 4.9185 4.9185 Å, 60.00 60.00 60.00°
Closest atoms and distances in Å follow each position.
Sites, in units of the cell vectors:
As1 0.2500 0.2500 0.2500  4 Pt 3.01, 4 Rb 3.01
Mg1 0.7500 0.7500 0.7500  4 Rb 3.01, 4 Pt 3.01
Pt1 0.0000 0.0000 0.0000  4 As 3.01, 4 Mg 3.01
Rb1 0.5000 0.5000 0.5000  4 Mg 3.01, 4 As 3.01

Results
density: 7.495 g/cm3
offset from the most stable computed form: 0.000 eV per atom
space-group type: No. 216

(4)
# GaRe

GaRe after structural relaxation (PBE-GGA, OQMD via LeMat-Bulk).

Cell: 9.0566 9.0566 9.0566 Å, 18.08 18.08 18.08°
Closest atoms and distances in Å follow each position.
Sites, in units of the cell vectors:
Ga1 0.0391 0.0391 0.0391  1 Ga 2.50, 3 Re 2.73
Ga2 0.9455 0.9455 0.9455  1 Ga 2.50, 3 Re 2.72
Re1 0.1977 0.1977 0.1977  9 Re 2.64-2.85, 3 Ga 2.72
Re2 0.4539 0.4539 0.4539  9 Re 2.64-2.85, 3 Ga 2.73

Results
density: 13.609 g/cm3
E_tot: -7.775 eV/atom
space-group type: No. 160